# 1
Here is TbU2Se4 after structural relaxation from Alexandria. Energies are from GGA-PBE.

CIF file:
```
data_TbU2Se4
_chemical_formula_sum 'Tb4 U8 Se16'
_symmetry_space_group_name_H-M 'I m m a'
_symmetry_Int_Tables_number 74
_symmetry_space_group_name_Hall '-I 2b 2'
_cell_length_a 8.117
_cell_length_b 8.165
_cell_length_c 11.414
_cell_angle_alpha 90.00
_cell_angle_beta 90.00
_cell_angle_gamma 90.00
loop_
_atom_site_label
_atom_site_fract_x
_atom_site_fract_y
_atom_site_fract_z
_atom_site_occupancy
Tb1 0.250 0.250 0.250 1
U1 0.000 0.000 0.000 1
U2 0.250 0.250 0.750 1
Se1 0.000 0.001 0.258 1
Se2 0.248 0.250 0.500 1
```

Summary:
The calculation puts the density of states at the Fermi level at 1.36 states/eV/atom. The formation energy (no corrections) is -1.33 eV/atom. For the total magnetic moment, the calculation gives 0.8052 μB per atom.


# 2
Here is TbU2Se4 after structural relaxation from Alexandria. Energies are from GGA-PBE.

CIF file:
```
data_TbU2Se4
_chemical_formula_sum 'Tb4 U8 Se16'
_symmetry_space_group_name_H-M 'C m c m'
_symmetry_Int_Tables_number 63
_symmetry_space_group_name_Hall '-C 2c 2'
_cell_length_a 3.899
_cell_length_b 13.460
_cell_length_c 14.054
_cell_angle_alpha 90.00
_cell_angle_beta 90.00
_cell_angle_gamma 90.00
loop_
_atom_site_label
_atom_site_fract_x
_atom_site_fract_y
_atom_site_fract_z
_atom_site_occupancy
Tb1 0.000 0.115 0.250 1
U1 0.000 0.361 0.066 1
Se1 0.000 0.000 0.000 1
Se2 0.000 0.284 0.628 1
Se3 0.000 0.457 0.250 1
```

Summary:
The calculation puts the density of states at the Fermi level at 1.67 states/eV/atom. The formation energy (no corrections) is -1.27 eV/atom. For the total magnetic moment, the calculation gives 0.9031 μB per atom.


# 3
Here is TbU4Se7 after structural relaxation from Alexandria. Energies are from GGA-PBE.

CIF file:
```
data_TbU4Se7
_chemical_formula_sum 'Tb1 U4 Se7'
_symmetry_space_group_name_H-M 'P -3 m 1'
_symmetry_Int_Tables_number 164
_symmetry_space_group_name_Hall '-P 3 2"'
_cell_length_a 4.0461
_cell_length_b 4.0461
_cell_length_c 23.9801
_cell_angle_alpha 90.00
_cell_angle_beta 90.00
_cell_angle_gamma 120.00
loop_
_atom_site_label
_atom_site_fract_x
_atom_site_fract_y
_atom_site_fract_z
_atom_site_occupancy
Tb1 0.0000 0.0000 0.0000 1
U1 0.3333 0.6667 0.1438 1
U2 0.3333 0.6667 0.4279 1
Se1 0.0000 0.0000 0.2096 1
Se2 0.0000 0.0000 0.5000 1
Se3 0.3333 0.6667 0.6382 1
Se4 0.3333 0.6667 0.9294 1
```

Summary:
The calculation puts the density of states at the Fermi level at 1.31 states/eV/atom. The formation energy (no corrections) is -1.20 eV/atom. For the total magnetic moment, the calculation gives 0.0368 μB per atom.


# 4
Here is Tb2USe4 after structural relaxation from Alexandria. Energies are from GGA-PBE.

CIF file:
```
data_Tb2USe4
_chemical_formula_sum 'Tb8 U4 Se16'
_symmetry_space_group_name_H-M 'C m c m'
_symmetry_Int_Tables_number 63
_symmetry_space_group_name_Hall '-C 2c 2'
_cell_length_a 4.014
_cell_length_b 13.533
_cell_length_c 13.740
_cell_angle_alpha 90.00
_cell_angle_beta 90.00
_cell_angle_gamma 90.00
loop_
_atom_site_label
_atom_site_fract_x
_atom_site_fract_y
_atom_site_fract_z
_atom_site_occupancy
Tb1 0.000 0.133 0.067 1
U1 0.000 0.379 0.250 1
Se1 0.000 0.036 0.250 1
Se2 0.000 0.226 0.625 1
Se3 0.000 0.500 0.000 1
```

Summary:
The calculation puts the density of states at the Fermi level at 0.94 states/eV/atom. The formation energy (no corrections) is -1.56 eV/atom. For the total magnetic moment, the calculation gives 0.4679 μB per atom.